# 1
16
Lattice="6.1210 0.0000 0.0000 0.0000 6.1210 0.0000 0.0000 0.0000 6.1210" Properties=species:S:1:pos:R:3 comment="TaBeTc2, optimized geometry, DFT GGA-PBE" delta_e_f_ev_per_atom=0.105 dft_energy_ev_per_atom=-8.97 m_tot_mub_per_fu=0.000 pbc="T T T"
Ta 0.0000 0.0000 0.0000
Ta 0.0000 3.0605 3.0605
Ta 3.0605 0.0000 3.0605
Ta 3.0605 3.0605 0.0000
Be 1.5303 1.5303 4.5908
Be 1.5303 4.5908 1.5303
Be 4.5908 1.5303 1.5303
Be 4.5908 4.5908 4.5908
Tc 0.0000 0.0000 3.0605
Tc 0.0000 3.0605 0.0000
Tc 1.5303 1.5303 1.5303
Tc 1.5303 4.5908 4.5908
Tc 3.0605 0.0000 0.0000
Tc 3.0605 3.0605 3.0605
Tc 4.5908 1.5303 4.5908
Tc 4.5908 4.5908 1.5303



# 2
5
Lattice="4.7733 0.0000 0.0000 0.0000 4.7733 0.0000 0.0000 0.0000 4.7733" Properties=species:S:1:pos:R:3 comment="Ta3BeTc, optimized geometry, DFT GGA-PBE" delta_e_f_ev_per_atom=1.484 dft_energy_ev_per_atom=-8.45 de_polymorph_kcal_per_mol_atoms=18.95 m_tot_mub_per_fu=0.000 pbc="T T T"
Ta 0.0000 0.0000 2.3866
Ta 0.0000 2.3866 0.0000
Ta 2.3866 0.0000 0.0000
Be 2.3866 2.3866 2.3866
Tc 0.0000 0.0000 0.0000